Record 1
FeHgOs2 GGA-PBE relaxed; calculated formation energy = 618 meV per atom; energy = -0.2642 hartree per atom; crystal system = monoclinic; total magnetization = 2.67 μB per formula unit
1.0
4.7456 -0.0025 -0.0266
3.9095 2.6902 -0.0266
0.8250 0.2562 4.8387
Hg Os Fe
1 2 1
Direct
0.2487 0.2487 0.2667
0.7501 0.7501 0.7658
0.0090 0.0090 0.9473
0.4923 0.4923 0.5203

Record 2
Fe2HgOs GGA-PBE relaxed; calculated formation energy = 605 meV per atom; energy = -0.2392 hartree per atom; crystal system = tetragonal; total magnetization = 5.81 μB per formula unit
1.0
4.8152 0.0197 0.0000
1.7184 4.4982 0.0000
-3.2668 -2.2590 2.7225
Hg Fe Os
1 2 1
Direct
0.5000 0.5000 0.0000
0.2500 0.7500 0.5000
0.0000 0.0000 0.0000
0.7500 0.2500 0.5000

Record 3
FeHg2Os GGA-PBE relaxed; calculated formation energy = 815 meV per atom; energy = -0.1565 hartree per atom; crystal system = orthorhombic; total magnetization = 3.38 μB per formula unit; E above lowest polymorph = 382 meV per atom
1.0
5.3758 -0.0096 -0.0091
2.4476 4.7863 0.0091
-3.4375 -3.1650 2.6582
Os Hg Fe
1 2 1
Direct
0.7500 0.2500 0.5000
0.0109 0.0109 0.0000
0.4891 0.4891 0.0000
0.2500 0.7500 0.5000

Record 4
FeHgOs3 GGA-PBE relaxed; calculated formation energy = 1796 meV per atom; energy = -0.2460 hartree per atom; crystal system = cubic; total magnetization = 0.00 μB per formula unit
1.0
-3.3543 2.5028 -1.5242
-2.2488 -0.7133 3.7779
1.8788 3.6147 1.8008
Fe Hg Os
1 1 3
Direct
0.0000 0.0000 0.0000
0.5000 0.5000 0.5000
0.0000 0.0000 0.5000
0.0000 0.5000 0.0000
0.5000 0.0000 0.0000

Record 5
FeHgOs2 GGA-PBE relaxed; calculated formation energy = 814 meV per atom; energy = -0.2570 hartree per atom; crystal system = orthorhombic; total magnetization = 3.39 μB per formula unit
1.0
-0.7401 -1.5752 -2.2172
-0.3153 -3.7582 2.7753
-4.5314 0.9820 0.8150
Hg Os Fe
1 2 1
Direct
0.0000 0.5000 0.5000
0.0000 0.0000 0.0000
0.5000 0.5000 0.0000
0.5000 0.0000 0.5000

Record 6
FeHgOs2 GGA-PBE relaxed; calculated formation energy = 579 meV per atom; energy = -0.2656 hartree per atom; crystal system = orthorhombic; total magnetization = 2.16 μB per formula unit
1.0
-0.3045 0.6887 5.5185
-4.2573 -1.8696 3.0660
4.3128 -0.8746 -3.4141
Fe Os Hg
1 2 1
Direct
0.2500 0.7500 0.5000
0.0336 0.0336 0.0000
0.4664 0.4664 0.0000
0.7500 0.2500 0.5000

energy of number 4 (FeHgOs3)? -0.2460 hartree per atom